(1)
The following is a DFT calculation (SCAN) of LiMg2Si at its PBEsol-relaxed geometry.

Cell lengths 4.1678, 4.1711, 5.0073 Å; angles 114.61, 114.59, 90.00 degrees
With the nearest neighbours (Å) after each atom.
Fractional coordinates of all 4 atoms:
Mg (0.0000, 0.0000, 0.0000)  4 Li 2.90-2.91, 4 Mg 2.91, 4 Si 2.95
Mg (0.7502, 0.2502, 0.5004)  4 Mg 2.91, 4 Si 2.91, 4 Li 2.95
Si (0.5003, 0.5003, 0.0005)  4 Li 2.90-2.91, 8 Mg 2.91-2.95
Li (0.2496, 0.7496, 0.4992)  4 Si 2.90-2.91, 8 Mg 2.90-2.95

## Properties
- ΔE_f (raw) (eV/atom) = -0.032
- theoretical density (g cm⁻³) = 2.0
- N(E_F) (states/eV per cell) = 1.02

(2)
The following is a DFT calculation (SCAN) of LiMg2Si at its PBEsol-relaxed geometry.

Cell lengths 2.9872, 4.9124, 5.3052 Å; angles 97.76, 90.00, 107.70 degrees
With the nearest neighbours (Å) after each atom.
Fractional coordinates of all 4 atoms:
Li (0.0000, 0.0000, 0.5000)  6 Mg 2.79-3.01, 2 Li 2.99, 4 Si 3.04
Mg (0.2407, 0.4814, 0.2435)  3 Li 2.79-3.01, 3 Si 2.85-2.91, 6 Mg 2.99-3.09
Mg (0.7593, 0.5186, 0.7565)  3 Li 2.79-3.01, 3 Si 2.85-2.91, 6 Mg 2.99-3.09
Si (0.5000, 0.0000, 0.0000)  6 Mg 2.85-2.91, 2 Si 2.99, 4 Li 3.04

## Properties
- ΔE_f (raw) (eV/atom) = 0.032
- theoretical density (g cm⁻³) = 1.9
- N(E_F) (states/eV per cell) = 1.18

In the order shown, the computed calculated volume values come out to 17.6 18.4 Å³/atom.
In the order shown, the computed magnetic moment values come out to 0.029 0.000 μB/f.u..